Entry 1:
This record from Alexandria describes an optimized crystal structure of NiMoCl2. The functional is PBE-GGA.

Output
crystal system = orthorhombic
Fermi-level density of states = 4.51 states/eV per cell
formation energy from raw total energies = 1.5 eV per formula unit
theoretical density = 5.7 g/cm³
energy relative to the lowest polymorph listed for this composition = 2.494 eV per formula unit
size of the total moment = 1.31 μB/f.u.
electronic total energy = -0.345 Ry per atom

a = 3.194 Å, b = 3.194 Å, c = 7.902 Å
α = 90.00°, β = 90.00°, γ = 125.67°
Last column: magnetic moment on the atom in μB.
Fractional coordinates of all 4 atoms:
Ni 0.500 0.500 0.750  0.33
Cl 0.000 0.000 0.992  0.02
Cl 0.000 0.000 0.508  0.02
Mo 0.500 0.500 0.250  0.82

Entry 2:
This record from Alexandria describes an optimized crystal structure of NiMoCl2. The functional is PBE-GGA.

Output
crystal system = trigonal
Fermi-level density of states = 3.30 states/eV per cell
formation energy from raw total energies = 1.2 eV per formula unit
theoretical density = 6.2 g/cm³
energy relative to the lowest polymorph listed for this composition = 2.172 eV per formula unit
size of the total moment = 0.00 μB/f.u.
electronic total energy = -0.351 Ry per atom

a = 7.780 Å, b = 7.780 Å, c = 7.780 Å
α = 22.48°, β = 22.48°, γ = 22.48°
Fractional coordinates of all 4 atoms:
Ni 0.750 0.750 0.750
Cl 0.998 0.998 0.998
Mo 0.250 0.250 0.250
Cl 0.502 0.502 0.502

Entry 3:
This record from Alexandria describes an optimized crystal structure of NiMo4Cl. The functional is PBE-GGA.

Output
crystal system = cubic
Fermi-level density of states = 4.93 states/eV per cell
formation energy from raw total energies = 5.7 eV per formula unit
theoretical density = 7.8 g/cm³
size of the total moment = 0.00 μB/f.u.
electronic total energy = -0.554 Ry per atom

a = 5.231 Å, b = 5.231 Å, c = 5.231 Å
α = 60.00°, β = 60.00°, γ = 60.00°
Fractional coordinates of all 6 atoms:
Mo 0.626 0.626 0.123
Cl 0.000 0.000 0.000
Ni 0.250 0.250 0.250
Mo 0.626 0.626 0.626
Mo 0.123 0.626 0.626
Mo 0.626 0.123 0.626

Entry 4:
This record from Alexandria describes an optimized crystal structure of NiMoCl2. The functional is PBE-GGA.

Output
crystal system = monoclinic
Fermi-level density of states = 3.24 states/eV per cell
formation energy from raw total energies = -0.1 eV per formula unit
theoretical density = 4.3 g/cm³
energy relative to the lowest polymorph listed for this composition = 0.821 eV per formula unit
size of the total moment = 1.07 μB/f.u.
electronic total energy = -0.375 Ry per atom

a = 6.771 Å, b = 6.771 Å, c = 4.419 Å
α = 86.90°, β = 86.90°, γ = 25.75°
Last column: magnetic moment on the atom in μB.
Fractional coordinates of all 4 atoms:
Mo 0.750 0.750 0.750  0.85
Ni 0.250 0.250 0.250  0.09
Cl 0.117 0.117 0.963  0.00
Cl 0.383 0.383 0.537  0.00